# 1
A plane-wave DFT calculation with PBE-GGA was carried out for an optimized crystal structure of DyAl3Ag2.

Formation energy: -133 meV per atom
Distance to the lowest polymorph of the same formula: 90 meV/atom
M_tot: 0.0000 μB per atom
DOS(E_F): 0.38 states/eV/atom
Total energy: -3.72 eV/atom

abc: 11.574 7.237 5.798
angles: 90.00 90.00 90.00
Space group Cmcm (No. 63)
Asymmetric unit:
Dy  0.000  0.151  0.250
Al  0.000  0.279  0.750
Al  0.209  0.180  0.750
Ag  0.139  0.500  0.000

# 2
A plane-wave DFT calculation with PBE-GGA was carried out for an optimized crystal structure of DyAlAg4.

Formation energy: -107 meV per atom
Distance to the lowest polymorph of the same formula: 34 meV/atom
M_tot: 0.0000 μB per atom
DOS(E_F): 0.31 states/eV/atom
Total energy: -3.40 eV/atom

abc: 5.000 5.000 10.009
angles: 103.93 103.91 90.20
Space group P-1 (No. 2)
Asymmetric unit:
Dy  0.250  0.250  0.000
Al  0.000  0.500  0.500
Al  0.500  0.000  0.500
Ag  0.079  0.078  0.650
Ag  0.156  0.655  0.808
Ag  0.344  0.843  0.192
Ag  0.420  0.420  0.350

# 3
A plane-wave DFT calculation with PBE-GGA was carried out for an optimized crystal structure of Dy2Al3Ag4.

Formation energy: -295 meV per atom
M_tot: 0.0000 μB per atom
DOS(E_F): 0.55 states/eV/atom
Total energy: -3.83 eV/atom

abc: 5.725 15.853 7.924
angles: 90.00 90.00 90.00
Space group Cmce (No. 64)
Asymmetric unit:
Dy  0.000  0.103  0.100
Al  0.000  0.000  0.500
Al  0.250  0.236  0.750
Ag  0.000  0.178  0.485
Ag  0.250  0.066  0.750

# 4
A plane-wave DFT calculation with PBE-GGA was carried out for an optimized crystal structure of DyAl2Ag.

Formation energy: -220 meV per atom
M_tot: 0.0401 μB per atom
DOS(E_F): 0.55 states/eV/atom
Total energy: -3.96 eV/atom

abc: 3.248 3.248 7.492
angles: 90.00 90.00 90.00
Space group P4/mmm (No. 123)
Asymmetric unit:
Dy  0.000  0.000  0.000
Al  0.500  0.500  0.287
Ag  0.000  0.000  0.500

# 5
A plane-wave DFT calculation with PBE-GGA was carried out for an optimized crystal structure of DyAl2Ag.

Formation energy: -299 meV per atom
M_tot: 0.0000 μB per atom
DOS(E_F): 0.40 states/eV/atom
Total energy: -4.03 eV/atom

abc: 4.315 4.315 4.314
angles: 90.00 90.00 90.00
Space group P4/mmm (No. 123)
Asymmetric unit:
Dy  0.000  0.000  0.000
Al  0.000  0.500  0.500
Ag  0.500  0.500  0.000

# 6
A plane-wave DFT calculation with PBE-GGA was carried out for an optimized crystal structure of DyAlAg2.

Formation energy: -162 meV per atom
M_tot: 0.0000 μB per atom
DOS(E_F): 0.70 states/eV/atom
Total energy: -3.67 eV/atom

abc: 4.449 4.449 4.213
angles: 90.00 90.00 90.00
Space group P4/mmm (No. 123)
Asymmetric unit:
Dy  0.000  0.000  0.000
Al  0.500  0.500  0.000
Ag  0.000  0.500  0.500